Entry 1:
Below is K2LiIr after structural relaxation, with properties calculated at the PBE level.

For the excess energy over the best structure of this formula in the dataset, the calculation gives 7.463 kcal/mol of atoms. The crystal system is orthorhombic. As for the energy relative to the elements: 0.741 eV/atom.

The structure belongs to space group Cmmm (No. 65); the cell edges are 6.3855, 10.7009 and 2.9544 Å and the angles 90.00°, 90.00° and 90.00°. The distinct sites, in fractional coordinates, are K at (0.2500, 0.2500, 0.0000), Li at (0.0000, 0.0000, 0.5000) and Ir at (0.0000, 0.5000, 0.5000).



Entry 2:
Below is CrCoHIr2 after structural relaxation, with properties calculated at the PBE level.

For the excess energy over the best structure of this formula in the dataset, the calculation gives 0.829 kcal/mol of atoms. The crystal system is tetragonal.

The structure belongs to space group P4/mmm (No. 123); the cell edges are 3.8411, 3.8411 and 3.7451 Å and the angles 90.00°, 90.00° and 90.00°. The distinct sites, in fractional coordinates, are Cr at (0.0000, 0.0000, 0.0000), Co at (0.5000, 0.5000, 0.0000), H at (0.0000, 0.0000, 0.5000) and Ir at (0.0000, 0.5000, 0.5000).



Entry 3:
Below is LiCeThGa after structural relaxation, with properties calculated at the PBE level.

The crystal system is cubic. As for the energy relative to the elements: -0.114 eV/atom.

The structure belongs to space group F-43m (No. 216); the cell edges are 7.3170, 7.3170 and 7.3170 Å and the angles 90.00°, 90.00° and 90.00°. The distinct sites, in fractional coordinates, are Li at (0.0000, 0.0000, 0.0000), Ce at (0.2500, 0.2500, 0.2500), Th at (0.2500, 0.2500, 0.7500) and Ga at (0.0000, 0.0000, 0.5000).



Entry 4:
Below is TlB after structural relaxation, with properties calculated at the PBE level.

For the excess energy over the best structure of this formula in the dataset, the calculation gives 23.064 kcal/mol of atoms. The crystal system is cubic. As for the energy relative to the elements: 1.488 eV/atom.

The structure belongs to space group F-43m (No. 216); the cell edges are 5.4755, 5.4755 and 5.4755 Å and the angles 90.00°, 90.00° and 90.00°. The distinct sites, in fractional coordinates, are Tl at (0.0000, 0.0000, 0.0000) and B at (0.2500, 0.2500, 0.2500).



Entry 5:
Below is ScCrCd2Au after structural relaxation, with properties calculated at the PBE level.

The crystal system is tetragonal. As for the energy relative to the elements: 0.631 eV/atom.

The structure belongs to space group P4/mmm (No. 123); the cell edges are 5.1010, 5.1010 and 4.6911 Å and the angles 90.00°, 90.00° and 90.00°. The distinct sites, in fractional coordinates, are Sc at (0.0000, 0.0000, 0.0000), Cr at (0.0000, 0.0000, 0.5000), Cd at (0.0000, 0.5000, 0.5000) and Au at (0.5000, 0.5000, 0.0000).



Entry 6:
Below is Tl2FeSe2 after structural relaxation, with properties calculated at the PBE level.

The crystal system is tetragonal. For the formation energy (no corrections), the calculation gives 0.0552 eV per atom.

The structure belongs to space group P4/mbm (No. 127); the cell edges are 6.1859, 6.1859 and 6.1671 Å and the angles 90.00°, 90.00° and 90.00°. The distinct sites, in fractional coordinates, are Tl at (0.1932, 0.3068, 0.0000), Fe at (0.0000, 0.0000, 0.5000) and Se at (0.1532, 0.6532, 0.5000).



Entry 7:
Below is MnTc2HOs after structural relaxation, with properties calculated at the PBE level.

The crystal system is tetragonal. The total DFT energy (no corrections) comes out at -8.842 eV per atom.

The structure belongs to space group P4/mmm (No. 123); the cell edges are 3.8752, 3.8752 and 3.8233 Å and the angles 90.00°, 90.00° and 90.00°. The distinct sites, in fractional coordinates, are Mn at (0.0000, 0.0000, 0.0000), Tc at (0.0000, 0.5000, 0.5000), H at (0.0000, 0.0000, 0.5000) and Os at (0.5000, 0.5000, 0.0000).



Entry 8:
Below is Sr2Zn4CdHg3 after structural relaxation, with properties calculated at the PBE level.

The crystal system is tetragonal. As for the energy relative to the elements: -0.261 eV/atom.

The structure belongs to space group P-4m2 (No. 115); the cell edges are 4.5703, 4.5703 and 11.5012 Å and the angles 90.00°, 90.00° and 90.00°. The distinct sites, in fractional coordinates, are Sr at (0.0000, 0.5000, 0.2461), Zn at (0.0000, 0.0000, 0.0000), Zn at (0.0000, 0.5000, 0.6363), Zn at (0.5000, 0.5000, 0.0000), Cd at (0.0000, 0.0000, 0.5000), Hg at (0.0000, 0.5000, 0.8675) and Hg at (0.5000, 0.5000, 0.5000).



Entry 9:
Below is LiCeSc2Au4 after structural relaxation, with properties calculated at the PBE level.

The crystal system is trigonal. As for the energy relative to the elements: -0.670 eV/atom.

The structure belongs to space group R-3m (No. 166, hexagonal axes); the cell edges are 4.7659, 4.7659 and 25.2645 Å and the angles 90.00°, 90.00° and 120.00°. The distinct sites, in fractional coordinates, are Li at (0.0000, 0.0000, 0.0000), Ce at (0.0000, 0.0000, 0.5000), Sc at (0.0000, 0.0000, 0.2626), Au at (0.0000, 0.0000, 0.1050) and Au at (0.0000, 0.0000, 0.3759).



Entry 10:
Below is Sc2GaSnPd4 after structural relaxation, with properties calculated at the PBE level.

The crystal system is trigonal. As for the energy relative to the elements: -0.869 eV/atom.

The structure belongs to space group R-3m (No. 166, hexagonal axes); the cell edges are 4.5836, 4.5836 and 22.5205 Å and the angles 90.00°, 90.00° and 120.00°. The distinct sites, in fractional coordinates, are Sc at (0.0000, 0.0000, 0.2486), Ga at (0.0000, 0.0000, 0.5000), Sn at (0.0000, 0.0000, 0.0000), Pd at (0.0000, 0.0000, 0.1281) and Pd at (0.0000, 0.0000, 0.3796).